Material: MoAs2F
Method: DFT, PBE with a Hubbard U
State: optimized geometry

Lattice parameters (Å, degrees): 7.0123 7.0123 7.0123 133.03 133.03 68.61
Positions (direct):
Mo 0.0000 0.0000 0.0000
Mo 0.7500 0.2500 0.5000
As 0.1256 0.6250 0.0006
As 0.3750 0.3756 0.5006
As 0.6244 0.1250 0.9994
As 0.8750 0.8744 0.4994
F 0.2500 0.7500 0.5000
F 0.5000 0.5000 0.0000

Computed properties:
Calculated volume   181.0 Å³/cell
Space group   I-42d, No. 122
Theoretical density   4.859 Mg/m³
Electronic total energy   -4.27 eV per atom
Energy relative to the lowest polymorph listed for this composition   0.339 eV/atom